Entry from Alexandria: a relaxed structure of K3La2PbS6 (GGA-PBE).

Final energy, eV/atom: -4.950
V, A^3/atom: 29.0

Cell lengths 7.368, 7.368, 7.805 Å; angles 99.04, 99.04, 119.99 degrees
Fractional positions:
1 K 0.000 0.000 0.000
2 K 0.336 0.664 0.000
3 K 0.664 0.336 0.000
4 La 0.167 0.833 0.500
5 La 0.833 0.167 0.500
6 Pb 0.500 0.500 0.500
7 S 0.096 0.430 0.289
8 S 0.236 0.236 0.710
9 S 0.430 0.096 0.289
10 S 0.570 0.904 0.711
11 S 0.764 0.764 0.290
12 S 0.904 0.570 0.711


Entry from Alexandria: a relaxed structure of InSn4Te5 (GGA-PBE).

Final energy, eV/atom: -3.729
V, A^3/atom: 32.4

Cell lengths 11.965, 11.965, 11.965 Å; angles 158.25, 149.21, 38.01 degrees
Fractional positions:
1 In 0.000 0.000 0.000
2 Sn 0.199 0.199 0.000
3 Sn 0.399 0.399 0.000
4 Sn 0.601 0.601 0.000
5 Sn 0.801 0.801 0.000
6 Te 0.100 0.600 0.500
7 Te 0.300 0.800 0.500
8 Te 0.500 0.000 0.500
9 Te 0.700 0.200 0.500
10 Te 0.900 0.400 0.500


Entry from Alexandria: a relaxed structure of SiHgMo2 (GGA-PBE).

Offset from the most stable computed form, meV per atom: 68
V, A^3/atom: 17.2

Cell lengths 3.155, 3.155, 6.925 Å; angles 90.00, 90.00, 90.00 degrees
Fractional positions:
1 Si 0.000 0.000 0.000
2 Hg 0.500 0.500 0.306
3 Mo 0.000 0.000 0.603
4 Mo 0.500 0.500 0.822